K2Hg3Pd2: optimized geometry, PBE.

Cell: 4.672 6.369 7.995 Å, 118.18 90.00 111.52°
Element x y z (fractional)
K1 0.854 0.708 0.227
K2 0.146 0.292 0.773
Hg1 0.500 0.000 0.000
Hg2 0.646 0.292 0.443
Hg3 0.354 0.708 0.557
Pd1 0.884 0.767 0.802
Pd2 0.116 0.233 0.198

Output
Its formation energy from the elements is -220 meV/atom.

Y3HgPt: optimized geometry, PBE.

Cell: 7.399 8.913 8.913 Å, 76.56 90.00 90.00°
Element x y z (fractional)
Y1 0.495 0.302 0.964
Y2 0.005 0.036 0.698
Y3 0.505 0.698 0.036
Y4 0.995 0.964 0.302
Y5 0.995 0.698 0.035
Y6 0.505 0.965 0.302
Y7 0.005 0.302 0.965
Y8 0.495 0.035 0.698
Y9 0.500 0.370 0.370
Y10 0.000 0.630 0.630
Y11 0.500 0.630 0.630
Y12 0.000 0.370 0.370
Hg1 0.250 0.999 0.001
Hg2 0.750 0.001 0.999
Hg3 0.250 0.669 0.331
Hg4 0.750 0.331 0.669
Pt1 0.750 0.441 0.126
Pt2 0.750 0.874 0.559
Pt3 0.250 0.559 0.874
Pt4 0.250 0.126 0.441

Output
Its formation energy from the elements is -630 meV/atom. The excess energy over the best structure of this formula in the dataset is 0.000 eV per atom.

Al3Zn2Ga2: optimized geometry, PBE.

Cell: 3.067 6.382 6.545 Å, 107.97 103.55 90.00°
Element x y z (fractional)
Al1 0.000 0.000 0.000
Al2 0.287 0.856 0.573
Al3 0.713 0.144 0.427
Zn1 0.428 0.280 0.855
Zn2 0.572 0.720 0.145
Ga1 0.139 0.432 0.279
Ga2 0.861 0.568 0.721

Output
Its formation energy from the elements is 41 meV/atom. The excess energy over the best structure of this formula in the dataset is 0.000 eV per atom.

Ac8TcOs2: optimized geometry, PBE.

Cell: 7.480 7.773 8.792 Å, 95.99 90.00 118.76°
Element x y z (fractional)
Ac1 0.888 0.279 0.131
Ac2 0.391 0.279 0.131
Ac3 0.112 0.721 0.869
Ac4 0.341 0.681 0.463
Ac5 0.609 0.721 0.869
Ac6 0.916 0.833 0.303
Ac7 0.084 0.167 0.697
Ac8 0.659 0.319 0.537
Tc1 0.000 0.000 0.000
Os1 0.863 0.726 0.611
Os2 0.137 0.274 0.389

Output
Its formation energy from the elements is 212 meV/atom.

ScTaW: optimized geometry, PBE.

Cell: 7.566 7.566 7.566 Å, 158.97 158.97 29.92°
Element x y z (fractional)
Sc1 0.005 0.005 0.000
Ta1 0.328 0.328 0.000
W1 0.667 0.667 0.000

Output
Its formation energy from the elements is 321 meV/atom. The excess energy over the best structure of this formula in the dataset is 0.178 eV per atom.

CdOsCl: optimized geometry, PBE.

Cell: 2.943 2.943 7.746 Å, 90.00 90.00 120.00°
Element x y z (fractional)
Cl1 0.333 0.667 0.406
Os1 0.667 0.333 0.643
Cd1 0.000 0.000 0.950

Output
The calculation puts the formation energy without anion corrections at 0.64 eV per atom. The excess energy over the best structure of this formula in the dataset is 0.036 eV per atom.

| no. | DOS at the Fermi energy (states/eV/cell) |
| --- | --- |
| 1 | 2.4 |
| 2 | 17.8 |
| 3 | 2.0 |
| 4 | 10.0 |
| 5 | 3.6 |
| 6 | 2.5 |